The following is a DFT calculation (PBE with a Hubbard U) of a relaxed Li2UMoO8 crystal.

Properties
Total magnetic moment, μB per formula unit: 2.0
N(E_F), states/eV/cell: 5.64
Uncorrected energy, eV per atom: -7.05
SG: P2/m

a b c (Å): 4.772 4.776 6.572
angles (deg): 90.00 90.00 90.56
Site moments in Bohr magnetons follow the coordinates.
Fractional positions:
Li (0.500, 0.500, 0.777)  0.00
Li (0.500, 0.500, 0.223)  0.00
U (0.000, 0.000, 0.500)  0.03
Mo (0.000, 0.000, 0.000)  -0.25
O (0.190, 0.808, 0.224)  0.23
O (0.717, 0.720, 0.000)  0.41
O (0.810, 0.192, 0.224)  0.23
O (0.810, 0.192, 0.776)  0.23
O (0.283, 0.280, 0.000)  0.41
O (0.190, 0.808, 0.776)  0.23
O (0.721, 0.723, 0.500)  0.08
O (0.279, 0.277, 0.500)  0.08